Arrangement i

This record from the Alexandria database describes a relaxed NaZn4 crystal. The functional is PBE.

Lattice parameters (Å, degrees): 4.620 4.967 4.967 77.51 62.29 62.29
Atoms (fractional coordinates):
Na1 0.000 0.000 0.000
Zn1 0.500 0.300 0.700
Zn2 0.800 0.700 0.700
Zn3 0.500 0.700 0.300
Zn4 0.200 0.300 0.300

Values from the calculation:
Symmetry: No. 139
Calculated volume in A^3/atom: 17.864

Arrangement ii

This record from the Alexandria database describes a relaxed NaZn4 crystal. The functional is PBE.

Lattice parameters (Å, degrees): 5.473 5.473 5.473 90.00 90.00 90.00
Atoms (fractional coordinates):
Na1 0.500 0.500 0.500
Zn1 0.000 0.000 0.000
Zn2 0.500 0.000 0.500
Zn3 0.000 0.500 0.500
Zn4 0.500 0.500 0.000

Values from the calculation:
Symmetry: No. 221
Calculated volume in A^3/atom: 32.780

Most stable structure: arrangement i

Arrangement i

This record from the Alexandria database describes a relaxed NaZrZn2 crystal. The functional is PBE.

Lattice parameters (Å, degrees): 3.104 3.104 8.452 90.00 90.00 90.00
Atoms (fractional coordinates):
Na1 0.500 0.500 0.000
Zn1 0.000 0.000 0.725
Zn2 0.000 0.000 0.275
Zr1 0.500 0.500 0.500

Values from the calculation:
Symmetry: No. 123
Calculated volume in A^3/atom: 20.357

Arrangement ii

This record from the Alexandria database describes a relaxed NaZrZn2 crystal. The functional is PBE.

Lattice parameters (Å, degrees): 3.240 4.911 4.911 90.00 90.00 90.00
Atoms (fractional coordinates):
Na1 0.500 0.000 0.000
Zn1 0.000 0.000 0.500
Zn2 0.000 0.500 0.000
Zr1 0.500 0.500 0.500

Values from the calculation:
Symmetry: No. 123
Calculated volume in A^3/atom: 19.539

Arrangement iii

This record from the Alexandria database describes a relaxed NaZrZn2 crystal. The functional is PBE.

Lattice parameters (Å, degrees): 4.759 4.759 4.759 60.00 60.00 60.00
Atoms (fractional coordinates):
Na1 0.000 0.000 0.000
Zn1 0.250 0.250 0.250
Zn2 0.750 0.750 0.750
Zr1 0.500 0.500 0.500

Values from the calculation:
Symmetry: No. 225
Calculated volume in A^3/atom: 19.051

Most stable structure: arrangement i

Arrangement i

This record from the Alexandria database describes a relaxed NaZrZn crystal. The functional is PBE.

Lattice parameters (Å, degrees): 15.578 3.277 5.586 90.00 96.63 90.00
Atoms (fractional coordinates):
Na1 0.296 0.000 0.750
Na2 0.296 0.500 0.250
Na3 0.508 0.000 0.152
Na4 0.508 0.500 0.652
Zr1 0.704 0.000 0.878
Zr2 0.704 0.500 0.378
Zr3 0.862 0.000 0.589
Zr4 0.862 0.500 0.089
Zn1 0.010 0.000 0.981
Zn2 0.010 0.500 0.481
Zn3 0.133 0.000 0.357
Zn4 0.133 0.500 0.857

Values from the calculation:
Symmetry: No. 8
Calculated volume in A^3/atom: 23.608

Arrangement ii

This record from the Alexandria database describes a relaxed NaZrZn crystal. The functional is PBE.

Lattice parameters (Å, degrees): 3.092 3.092 14.225 90.00 90.00 90.00
Atoms (fractional coordinates):
Na1 0.000 0.000 0.653
Na2 0.500 0.500 0.153
Zr1 0.000 0.000 0.361
Zr2 0.500 0.500 0.861
Zn1 0.000 0.000 0.988
Zn2 0.500 0.500 0.488

Values from the calculation:
Symmetry: No. 107
Calculated volume in A^3/atom: 22.665

Most stable structure: arrangement i

Arrangement i

This record from the Alexandria database describes a relaxed NaZrZn crystal. The functional is PBE.

Lattice parameters (Å, degrees): 3.162 3.162 13.946 90.00 90.00 90.00
Atoms (fractional coordinates):
Na1 0.000 0.000 0.688
Na2 0.500 0.500 0.916
Zr1 0.000 0.000 0.127
Zr2 0.500 0.500 0.282
Zn1 0.000 0.000 0.427
Zn2 0.500 0.500 0.528

Values from the calculation:
Symmetry: No. 99
Calculated volume in A^3/atom: 23.241

Arrangement ii

This record from the Alexandria database describes a relaxed NaZrZn crystal. The functional is PBE.

Lattice parameters (Å, degrees): 8.675 3.136 10.748 90.00 110.67 90.00
Atoms (fractional coordinates):
Na1 0.468 0.000 0.986
Na2 0.468 0.500 0.486
Na3 0.299 0.000 0.678
Na4 0.299 0.500 0.178
Zr1 0.920 0.000 0.034
Zr2 0.920 0.500 0.534
Zr3 0.033 0.000 0.341
Zr4 0.033 0.500 0.841
Zn1 0.756 0.000 0.682
Zn2 0.756 0.500 0.182
Zn3 0.670 0.000 0.340
Zn4 0.670 0.500 0.840

Values from the calculation:
Symmetry: No. 8
Calculated volume in A^3/atom: 22.796

Most stable structure: arrangement i

Arrangement i

This record from the Alexandria database describes a relaxed NaZr3Zn crystal. The functional is PBE.

Lattice parameters (Å, degrees): 4.969 4.969 4.969 90.00 90.00 90.00
Atoms (fractional coordinates):
Na1 0.000 0.000 0.000
Zn1 0.500 0.500 0.500
Zr1 0.000 0.500 0.000
Zr2 0.000 0.000 0.500
Zr3 0.500 0.000 0.000

Values from the calculation:
Symmetry: No. 221
Calculated volume in A^3/atom: 24.536

Arrangement ii

This record from the Alexandria database describes a relaxed NaZr3Zn crystal. The functional is PBE.

Lattice parameters (Å, degrees): 5.112 5.112 5.112 90.00 90.00 90.00
Site moments in Bohr magnetons follow the coordinates.
Atoms (fractional coordinates):
Na1 0.500 0.500 0.500  0.01
Zn1 0.000 0.000 0.000  0.03
Zr1 0.000 0.500 0.000  0.17
Zr2 0.000 0.000 0.500  0.12
Zr3 0.500 0.000 0.000  0.20

Values from the calculation:
Symmetry: No. 221
Calculated volume in A^3/atom: 26.713

Most stable structure: arrangement ii

Arrangement i

This record from the Alexandria database describes a relaxed Na3Zr crystal. The functional is PBE.

Lattice parameters (Å, degrees): 7.007 7.007 5.673 90.00 90.00 120.00
Site moments in Bohr magnetons follow the coordinates.
Atoms (fractional coordinates):
Na1 0.168 0.336 0.250  0.01
Na2 0.664 0.832 0.250  0.01
Na3 0.168 0.832 0.250  0.01
Na4 0.832 0.664 0.750  0.01
Na5 0.336 0.168 0.750  0.01
Na6 0.832 0.168 0.750  0.01
Zr1 0.333 0.667 0.750  1.12
Zr2 0.667 0.333 0.250  1.12

Values from the calculation:
Symmetry: No. 194
Calculated volume in A^3/atom: 30.152

Arrangement ii

This record from the Alexandria database describes a relaxed Na3Zr crystal. The functional is PBE.

Lattice parameters (Å, degrees): 4.885 4.885 4.885 90.00 90.00 90.00
Site moments in Bohr magnetons follow the coordinates.
Atoms (fractional coordinates):
Na1 0.000 0.500 0.500  0.00
Na2 0.500 0.000 0.500  0.00
Na3 0.500 0.500 0.000  0.00
Zr1 0.000 0.000 0.000  0.08

Values from the calculation:
Symmetry: No. 221
Calculated volume in A^3/atom: 29.149

Most stable structure: arrangement i

Arrangement i

This record from the Alexandria database describes a relaxed Nd3NbO7 crystal. The functional is PBE.

Lattice parameters (Å, degrees): 6.681 6.681 7.746 90.00 90.00 111.11
Atoms (fractional coordinates):
Nd1 0.931 0.479 0.750
Nd2 0.069 0.521 0.250
Nd3 0.000 0.000 0.500
Nd4 0.000 0.000 0.000
Nd5 0.521 0.069 0.250
Nd6 0.479 0.931 0.750
Nb1 0.500 0.500 0.000
Nb2 0.500 0.500 0.500
O1 0.571 0.571 0.750
O2 0.429 0.429 0.250
O3 0.846 0.109 0.750
O4 0.154 0.891 0.250
O5 0.109 0.846 0.750
O6 0.891 0.154 0.250
O7 0.438 0.184 0.965
O8 0.562 0.816 0.465
O9 0.184 0.438 0.965
O10 0.816 0.562 0.465
O11 0.438 0.184 0.535
O12 0.562 0.816 0.035
O13 0.816 0.562 0.035
O14 0.184 0.438 0.535

Values from the calculation:
Symmetry: No. 63
Calculated volume in A^3/atom: 14.660

Arrangement ii

This record from the Alexandria database describes a relaxed Nd3NbO7 crystal. The functional is PBE.

Lattice parameters (Å, degrees): 6.726 6.726 7.720 90.00 90.00 108.57
Atoms (fractional coordinates):
Nd1 0.460 0.460 0.500
Nd2 0.540 0.540 0.000
Nd3 0.537 0.998 0.261
Nd4 0.463 0.002 0.761
Nd5 0.998 0.537 0.739
Nd6 0.002 0.463 0.239
Nb1 0.998 0.998 0.500
Nb2 0.002 0.002 0.000
O1 0.703 0.956 0.545
O2 0.297 0.044 0.045
O3 0.956 0.703 0.455
O4 0.044 0.297 0.955
O5 0.081 0.324 0.520
O6 0.919 0.676 0.020
O7 0.324 0.081 0.480
O8 0.676 0.919 0.980
O9 0.371 0.629 0.250
O10 0.629 0.371 0.750
O11 0.638 0.362 0.250
O12 0.362 0.638 0.750
O13 0.937 0.063 0.250
O14 0.063 0.937 0.750

Values from the calculation:
Symmetry: No. 20
Calculated volume in A^3/atom: 15.048

Most stable structure: arrangement ii

Arrangement i

This record from the Alexandria database describes a relaxed NdNbP2 crystal. The functional is PBE.

Lattice parameters (Å, degrees): 3.824 3.824 6.738 73.52 73.52 60.00
Atoms (fractional coordinates):
P1 0.262 0.262 0.214
P2 0.738 0.738 0.786
Nb1 0.000 0.000 0.000
Nd1 0.500 0.500 0.500

Values from the calculation:
Symmetry: No. 166
Calculated volume in A^3/atom: 20.150

Arrangement ii

This record from the Alexandria database describes a relaxed NdNbP2 crystal. The functional is PBE.

Lattice parameters (Å, degrees): 3.712 3.712 6.846 105.73 105.72 89.99
Site moments in Bohr magnetons follow the coordinates.
Atoms (fractional coordinates):
Nd1 0.222 0.881 0.228  0.04
Nb1 0.471 0.631 0.728  0.06
P1 0.846 0.507 0.478  0.00
P2 0.596 0.256 0.978  0.00

Values from the calculation:
Symmetry: No. 119
Calculated volume in A^3/atom: 21.782

Most stable structure: arrangement i